1.
PrGeP2N6: relaxed, PBE.

The space group is C2/c (No. 15) and the conventional cell measures 10.116, 10.168 and 5.726 Å, with angles of 90.00, 114.38 and 90.00 degrees. The distinct sites, in fractional coordinates, are Pr at (0.000, 0.122, 0.250), Ge at (0.000, 0.238, 0.750), P at (0.204, 0.425, 0.171), N at (0.094, 0.302, 0.070), N at (0.122, 0.109, 0.708) and N at (0.188, 0.473, 0.435).

For the formation energy (no corrections), the calculation gives -0.326 eV per atom. The value obtained for the electronic total energy is -73.42 eV/f.u. Its magnetization is 0.000 μB per atom.

---

2.
NaZrAgF6: relaxed, PBE.

The space group is P-31c (No. 163) and the conventional cell measures 5.9032, 5.9032 and 9.8421 Å, with angles of 90.00, 90.00 and 120.00 degrees. The distinct sites, in fractional coordinates, are Na at (0.3333, 0.6667, 0.2500), Zr at (0.3333, 0.6667, 0.7500), Ag at (0.0000, 0.0000, 0.0000) and F at (0.0371, 0.3814, 0.6367).

For the formation energy (no corrections), the calculation gives -2.905 eV per atom. The value obtained for the electronic total energy is -50.09 eV/f.u. Its magnetization is 0.013 μB per atom.

---

3.
Nd12ZnRu6: relaxed, PBE.

The space group is Im-3 (No. 204) and the conventional cell measures 10.143, 10.143 and 10.143 Å, with angles of 90.00, 90.00 and 90.00 degrees. The distinct sites, in fractional coordinates, are Nd at (0.000, 0.197, 0.298), Zn at (0.000, 0.000, 0.000) and Ru at (0.000, 0.379, 0.500).

As for the formation energy: -149.7 meV per atom. The value obtained for the electronic total energy is -116.99 eV/f.u. Its magnetization is 0.000 μB per atom.

---

4.
ZrSiGe: relaxed, PBE.

The space group is P4/nmm (No. 129, origin choice 2) and the conventional cell measures 3.537, 3.537 and 8.813 Å, with angles of 90.00, 90.00 and 90.00 degrees. The distinct sites, in fractional coordinates, are Zr at (0.250, 0.250, 0.246), Si at (0.250, 0.750, 0.000) and Ge at (0.250, 0.250, 0.574).

For the formation energy (no corrections), the calculation gives -0.438 eV per atom. The value obtained for the electronic total energy is -19.90 eV/f.u. Its magnetization is 0.000 μB per atom.

---

5.
Nd3Ni2As4: relaxed, PBE.

The space group is C2/m (No. 12) and the conventional cell measures 11.337, 4.221 and 8.631 Å, with angles of 90.00, 112.75 and 90.00 degrees. The distinct sites, in fractional coordinates, are Nd at (0.000, 0.000, 0.000), Nd at (0.131, 0.500, 0.707), Ni at (0.189, 0.500, 0.390), As at (0.094, 0.000, 0.401) and As at (0.196, 0.500, 0.110).

As for the formation energy: -986.2 meV per atom. The value obtained for the electronic total energy is -53.34 eV/f.u. Its magnetization is 0.000 μB per atom.